[1]
A relaxed structure of ScMnI2N, computed with PBE. Values from VASP.

## Properties
Formation energy without anion corrections: 133 meV per atom
Space-group type: P4/mmm, No. 123
Mass density: 4.483 g/cm³
E_tot: -5.25 eV/atom

```
&SYSTEM
  ibrav = 0, nat = 5, ntyp = 4
/
ATOMIC_SPECIES
N 14.01 N.upf
Sc 44.96 Sc.upf
I 126.90 I.upf
Mn 54.94 Mn.upf
CELL_PARAMETERS angstrom
5.904 0.000 0.000
0.000 5.904 0.000
0.000 0.000 3.908
ATOMIC_POSITIONS angstrom
N 0.000 0.000 1.954
Sc 0.000 0.000 0.000
I 0.000 2.952 0.000
I 2.952 0.000 0.000
Mn 2.952 2.952 1.954
```


[2]
A relaxed structure of HfTl3B, computed with PBE. Values from VASP.

## Properties
Space-group type: Pm-3m, No. 221
ΔH_f (0 K): 99 kJ/mol of atoms
Mass density: 11.393 g/cm³
E_tot: -3.72 eV/atom

```
&SYSTEM
  ibrav = 0, nat = 5, ntyp = 3
/
ATOMIC_SPECIES
Tl 204.38 Tl.upf
B 10.81 B.upf
Hf 178.49 Hf.upf
CELL_PARAMETERS angstrom
4.890 0.000 0.000
0.000 4.890 0.000
0.000 0.000 4.890
ATOMIC_POSITIONS angstrom
Tl 2.445 0.000 0.000
Tl 0.000 2.445 0.000
Tl 0.000 0.000 2.445
B 0.000 0.000 0.000
Hf 2.445 2.445 2.445
```


[3]
A relaxed structure of La2Zn3PbAu4, computed with PBE. Values from VASP.

## Properties
Space-group type: P-4m2, No. 115
ΔH_f (0 K): -49 kJ/mol of atoms
Mass density: 10.819 g/cm³
E_tot: -3.56 eV/atom

```
&SYSTEM
  ibrav = 0, nat = 10, ntyp = 4
/
ATOMIC_SPECIES
Pb 207.20 Pb.upf
La 138.91 La.upf
Au 196.97 Au.upf
Zn 65.41 Zn.upf
CELL_PARAMETERS angstrom
4.473 0.000 0.000
0.000 4.473 0.000
0.000 0.000 11.268
ATOMIC_POSITIONS angstrom
Pb 2.237 2.237 5.634
La 0.000 2.237 8.597
La 2.237 0.000 2.671
Au 0.000 0.000 0.000
Au 0.000 2.237 3.871
Au 2.237 2.237 0.000
Au 2.237 0.000 7.396
Zn 0.000 0.000 5.634
Zn 2.237 0.000 9.913
Zn 0.000 2.237 1.355
```


[4]
A relaxed structure of Ho5As2P2, computed with PBE. Values from VASP.

## Properties
Space-group type: Cmce, No. 64
ΔH_f (0 K): -126 kJ/mol of atoms
Mass density: 8.485 g/cm³
E_tot: -6.08 eV/atom

```
&SYSTEM
  ibrav = 0, nat = 18, ntyp = 3
/
ATOMIC_SPECIES
P 30.97 P.upf
Ho 164.93 Ho.upf
As 74.92 As.upf
CELL_PARAMETERS angstrom
-0.651 -5.598 -5.090
7.325 -1.437 0.643
-5.031 -3.901 4.934
ATOMIC_POSITIONS angstrom
P 5.845 -4.835 -2.729
P 4.630 -1.734 -0.319
P 0.829 -2.200 -1.718
P 2.045 -5.301 -4.128
Ho 3.923 -6.893 -2.462
Ho 5.565 -4.352 0.199
Ho -2.280 -4.043 2.949
Ho 3.337 -3.517 -2.223
Ho 1.263 -5.793 2.333
Ho 2.022 -2.603 0.815
Ho -0.379 -8.333 -0.328
Ho 0.000 0.000 0.000
Ho 0.381 -5.143 -1.846
Ho -3.921 -6.584 0.288
As -0.546 -1.844 2.097
As 2.791 -5.361 -0.126
As -1.148 -5.575 0.613
As 2.841 -3.495 3.480
```


[5]
A relaxed structure of NaBi3Pd, computed with PBE. Values from VASP.

## Properties
Space-group type: Pc, No. 7
ΔH_f (0 K): -20 kJ/mol of atoms
Mass density: 8.558 g/cm³
E_tot: -3.84 eV/atom

```
&SYSTEM
  ibrav = 0, nat = 10, ntyp = 3
/
ATOMIC_SPECIES
Pd 106.42 Pd.upf
Bi 208.98 Bi.upf
Na 22.99 Na.upf
CELL_PARAMETERS angstrom
-0.441 1.138 6.316
-6.304 0.601 -0.548
-0.775 -7.035 1.203
ATOMIC_POSITIONS angstrom
Pd -5.283 -4.299 1.425
Pd -4.302 -0.291 4.051
Bi -1.255 -3.926 6.225
Bi -3.729 -1.806 6.331
Bi -4.121 -5.305 6.933
Bi -6.115 -2.108 2.948
Bi -6.511 -5.643 3.548
Bi -2.204 -0.829 2.330
Na -3.141 -4.199 3.475
Na -6.701 0.244 5.710
```


[6]
A relaxed structure of InSiCl, computed with PBE. Values from VASP.

## Properties
Formation energy without anion corrections: 687 meV per atom
Space-group type: F-43m, No. 216
Mass density: 3.564 g/cm³
E_tot: -2.65 eV/atom

```
&SYSTEM
  ibrav = 0, nat = 3, ntyp = 3
/
ATOMIC_SPECIES
Si 28.09 Si.upf
In 114.82 In.upf
Cl 35.45 Cl.upf
CELL_PARAMETERS angstrom
4.898 0.000 0.000
2.449 4.242 0.000
2.449 1.414 3.999
ATOMIC_POSITIONS angstrom
Si 4.898 2.828 2.000
In 0.000 0.000 0.000
Cl 7.347 4.242 2.999
```